DFT (PBE-GGA) results for a geometry-optimized LaIr2Au structure.

As for the space-group type: Pmmm (47). The density of states at the Fermi level is 5.76 states/eV/f.u. Its calculated volume is 78 Å³ per cell. For the formation energy from the elements, the calculation gives 0.0542 eV/atom. Its polymorph energy (0 for the lowest one) is 264 meV per atom. The value obtained for the uncorrected energy is -25.71 eV per formula unit.

Cell lengths 3.142, 3.970, 6.236 Å; angles 90.00, 90.00, 90.00 degrees
Element x y z (fractional)
La 0.000 0.000 0.000
Ir 0.500 0.500 0.286
Ir 0.500 0.500 0.714
Au 0.000 0.000 0.500